This record from the Alexandria database describes a relaxed LaTaTc2 crystal. The functional is PBEsol.

a = 4.618 Å, b = 4.618 Å, c = 4.618 Å
α = 60.00°, β = 60.00°, γ = 60.00°
Element x y z (fractional)
La 0.500 0.500 0.500
Tc 0.750 0.750 0.750
Tc 0.000 0.000 0.000
Ta 0.250 0.250 0.250

Computed properties:
Mass density ... 12.30 g/cm³
Volume ... 69.62 Å³/cell
E_form ... 378 meV per atom
Electronic total energy ... -38.92 eV/cell